# Pm6SmDy2Tm3 | Alexandria via LeMat-Bulk | PBE | relaxed
data_Pm6SmDy2Tm3
_chemical_formula_sum 'Pm12 Sm2 Dy4 Tm6'
_cell_length_a 6.231
_cell_length_b 10.792
_cell_length_c 11.806
_cell_angle_alpha 90.00
_cell_angle_beta 100.10
_cell_angle_gamma 90.00
_symmetry_space_group_name_H-M 'C 1 2/m 1'
_symmetry_Int_Tables_number 12
loop_
_symmetry_equiv_pos_as_xyz
'x,y,z'
'-x,-y,-z'
'-x,y,-z'
'x,-y,z'
'x+1/2,y+1/2,z'
'-x+1/2,-y+1/2,-z'
'-x+1/2,y+1/2,-z'
'x+1/2,-y+1/2,z'
loop_
_atom_site_label
_atom_site_type_symbol
_atom_site_fract_x
_atom_site_fract_y
_atom_site_fract_z
Pm1 Pm 0.249 0.000 0.248
Pm2 Pm 0.249 0.333 0.248
Sm1 Sm 0.000 0.000 0.500
Dy1 Dy 0.000 0.333 0.500
Tm1 Tm 0.000 0.167 0.000
Tm2 Tm 0.000 0.500 0.000
# energy of formation: 0.015 eV/atom